<i>
The following is a PBE calculation of a relaxed structure of CaTlGa2Ni, from the Alexandria database.

As for the space group: P4/mmm (123). The calculated volume is 22.3 Å³ per atom. The calculation puts the total magnetization at 0.00 μB per formula unit.

abc: 4.6741 4.6741 5.0986
angles: 90.00 90.00 90.00
Fractional coordinates of all 5 atoms:
1 Ni 0.0000 0.0000 0.0000
2 Tl 0.0000 0.0000 0.5000
3 Ca 0.5000 0.5000 0.5000
4 Ga 0.0000 0.5000 0.0000
5 Ga 0.5000 0.0000 0.0000

***

<ii>
The following is a PBE calculation of a relaxed structure of CaTlGa2Ni, from the Alexandria database.

As for the space group: P4/mmm (123). The calculated volume is 23.0 Å³ per atom. The calculation puts the total magnetization at 0.00 μB per formula unit.

abc: 4.6694 4.6694 5.2731
angles: 90.00 90.00 90.00
Fractional coordinates of all 5 atoms:
1 Ni 0.0000 0.0000 0.0000
2 Tl 0.5000 0.5000 0.5000
3 Ca 0.0000 0.0000 0.5000
4 Ga 0.0000 0.5000 0.0000
5 Ga 0.5000 0.0000 0.0000

***

The energetic minimum among the shown structures is <ii>; the next structure lies 40 meV per atom above.